# Sm4Tl2CdPd

An optimized crystal structure of Sm4Tl2CdPd (PBE, Alexandria).

Formation energy from the elements   -0.446 eV per atom
Electronic total energy   -4.161 eV/atom
SG   R-3m

Lattice parameters (Å, degrees): 5.373 5.373 9.225 73.07 73.07 60.00
Fractional coordinates of all 8 atoms:
1 Sm 0.384 0.384 0.849
2 Sm 0.868 0.868 0.395
3 Sm 0.132 0.132 0.605
4 Sm 0.616 0.616 0.151
5 Tl 0.743 0.743 0.772
6 Tl 0.257 0.257 0.228
7 Cd 0.000 0.000 0.000
8 Pd 0.500 0.500 0.500